# 1
Here is Li3SiTe after structural relaxation from Alexandria via LeMat-Bulk. Energies are from GGA-PBE.

For the total moment, the calculation gives 3.0 μB/f.u. The formation energy without anion corrections is 0.22 eV/f.u. As for the energy above the most stable polymorph in this dataset: 15 meV/atom.

a = 5.233 Å, b = 5.233 Å, c = 5.233 Å
α = 90.00°, β = 90.00°, γ = 90.00°
Sites, in units of the cell vectors:
Li: 0.000 0.000 0.500
Li: 0.000 0.500 0.000
Li: 0.500 0.000 0.000
Si: 0.500 0.500 0.500
Te: 0.000 0.000 0.000

# 2
Here is CaZn2Hg after structural relaxation from Alexandria via LeMat-Bulk. Energies are from GGA-PBE.

For the total moment, the calculation gives 0.0 μB/f.u. The value obtained for the energy relative to the elements is -0.613 eV/f.u.

a = 4.579 Å, b = 7.680 Å, c = 5.810 Å
α = 90.00°, β = 113.01°, γ = 90.00°
Sites, in units of the cell vectors:
Ca: 0.066 0.250 0.129
Ca: 0.934 0.750 0.871
Zn: 0.261 0.584 0.523
Zn: 0.261 0.916 0.523
Zn: 0.739 0.084 0.477
Zn: 0.739 0.416 0.477
Hg: 0.373 0.250 0.743
Hg: 0.627 0.750 0.257

# 3
Here is NbV3Hg after structural relaxation from Alexandria via LeMat-Bulk. Energies are from GGA-PBE.

For the total moment, the calculation gives 0.4 μB/f.u. As for the energy above the most stable polymorph in this dataset: 0 meV/atom. The value obtained for the energy relative to the elements is 6.804 eV/f.u.

a = 4.622 Å, b = 4.622 Å, c = 4.622 Å
α = 90.00°, β = 90.00°, γ = 90.00°
Sites, in units of the cell vectors:
Nb: 0.000 0.000 0.000
V: 0.000 0.000 0.500
V: 0.000 0.500 0.000
V: 0.500 0.000 0.000
Hg: 0.500 0.500 0.500

# 4
Here is CuPAuCl2 after structural relaxation from Alexandria via LeMat-Bulk. Energies are from GGA-PBE.

For the total moment, the calculation gives 0.0 μB/f.u. The formation energy without anion corrections is 2.38 eV/f.u. As for the energy above the most stable polymorph in this dataset: 0 meV/atom.

a = 4.378 Å, b = 4.378 Å, c = 5.461 Å
α = 90.00°, β = 90.00°, γ = 90.00°
Sites, in units of the cell vectors:
Cu: 0.000 0.000 0.000
P: 0.000 0.000 0.500
Au: 0.500 0.500 0.500
Cl: 0.000 0.500 0.000
Cl: 0.500 0.000 0.000

# 5
Here is Nd6YTm after structural relaxation from Alexandria via LeMat-Bulk. Energies are from GGA-PBE.

For the total moment, the calculation gives 0.0 μB/f.u. The value obtained for the energy relative to the elements is 0.112 eV/f.u.

a = 5.151 Å, b = 5.151 Å, c = 10.307 Å
α = 90.00°, β = 90.00°, γ = 90.00°
Sites, in units of the cell vectors:
Nd: 0.000 0.000 0.000
Nd: 0.000 0.000 0.500
Nd: 0.000 0.500 0.248
Nd: 0.000 0.500 0.752
Nd: 0.500 0.000 0.248
Nd: 0.500 0.000 0.752
Y: 0.500 0.500 0.500
Tm: 0.500 0.500 0.000

# 6
Here is KBe2In after structural relaxation from Alexandria via LeMat-Bulk. Energies are from GGA-PBE.

For the total moment, the calculation gives 0.0 μB/f.u. The value obtained for the energy relative to the elements is 2.570 eV/f.u.

a = 9.091 Å, b = 9.091 Å, c = 9.091 Å
α = 148.44°, β = 148.44°, γ = 45.24°
Sites, in units of the cell vectors:
K: 0.375 0.625 0.750
K: 0.625 0.375 0.250
Be: 0.000 0.000 0.000
Be: 0.000 0.000 0.500
Be: 0.000 0.500 0.000
Be: 0.500 0.000 0.500
In: 0.125 0.875 0.250
In: 0.875 0.125 0.750

> What is the total moment in the third record?

0.4 μB/f.u.

> What is the formula in the first record?

Li3SiTe

> Which formula does entry 6 have?

KBe2In

> Which of these has the highest total moment?

Li3SiTe